(1)
{
  "formula": "KAc2Sn3Au6",
  "functional": "PBE",
  "state": "optimized geometry",
  "lattice_angstrom": [[4.7760, 0.0000, 0.0000], [0.0000, 4.7760, 0.0000], [0.0000, 0.0000, 17.7957]],
  "species": ["K", "Ac", "Ac", "Sn", "Sn", "Sn", "Au", "Au", "Au", "Au", "Au", "Au"],
  "fractional_positions": [[0.0000, 0.0000, 0.0000], [0.0000, 0.0000, 0.2847], [0.0000, 0.0000, 0.7153], [0.5000, 0.5000, 0.2084], [0.5000, 0.5000, 0.5000], [0.5000, 0.5000, 0.7916], [0.0000, 0.5000, 0.1438], [0.0000, 0.5000, 0.8562], [0.5000, 0.0000, 0.1438], [0.5000, 0.0000, 0.8562], [0.5000, 0.5000, 0.3556], [0.5000, 0.5000, 0.6444]],
  "delta_e_f_ev_per_atom": -0.22
}

=====

(2)
{
  "formula": "KAcSnAu",
  "functional": "PBE",
  "state": "optimized geometry",
  "lattice_angstrom": [[0.0000, 3.9911, 3.9911], [3.9911, 0.0000, 3.9911], [3.9911, 3.9911, 0.0000]],
  "species": ["K", "Ac", "Sn", "Au"],
  "fractional_positions": [[0.0000, 0.0000, 0.0000], [0.5000, 0.5000, 0.5000], [0.2500, 0.2500, 0.2500], [0.7500, 0.7500, 0.7500]],
  "delta_e_f_ev_per_atom": -0.38
}

=====

(3)
{
  "formula": "KAcTeAu",
  "functional": "PBE",
  "state": "optimized geometry",
  "lattice_angstrom": [[0.0000, 3.9947, 3.9947], [3.9947, 0.0000, 3.9947], [3.9947, 3.9947, 0.0000]],
  "species": ["K", "Ac", "Te", "Au"],
  "fractional_positions": [[0.0000, 0.0000, 0.0000], [0.5000, 0.5000, 0.5000], [0.2500, 0.2500, 0.2500], [0.7500, 0.7500, 0.7500]],
  "formation_energy_uncorrected_ev_per_atom": -0.78
}

=====

Number 1: DFT total energy -3.631 eV per atom, total moment 0.00 Bohr magnetons per cell. Number 2: DFT total energy -3.504 eV per atom, total moment 0.00 Bohr magnetons per cell. Number 3: DFT total energy -3.686 eV per atom, total moment 0.00 Bohr magnetons per cell.